The following is a DFT calculation (PBE) of an optimized crystal structure of Zn2PF.

Calculated values
- Electronic total energy: -3.018 eV per atom
- Raw formation energy: -0.56 eV/atom
- SG: Fm-3m
- Volume: 219 Å³ per cell
- Density: 5.5 g/cm3
- Fermi-level density of states: 0.065 states/eV/atom

abc: 6.025 6.025 6.025
angles: 90.00 90.00 90.00
Fractional coordinates of all 16 atoms:
Zn1 0.250 0.250 0.250
Zn2 0.250 0.250 0.750
Zn3 0.250 0.750 0.250
Zn4 0.250 0.750 0.750
Zn5 0.750 0.250 0.250
Zn6 0.750 0.250 0.750
Zn7 0.750 0.750 0.250
Zn8 0.750 0.750 0.750
P1 0.000 0.000 0.000
P2 0.000 0.500 0.500
P3 0.500 0.000 0.500
P4 0.500 0.500 0.000
F1 0.000 0.000 0.500
F2 0.000 0.500 0.000
F3 0.500 0.000 0.000
F4 0.500 0.500 0.500